Density functional theory data (GGA-PBE) for a relaxed Cs2NaTl2 crystal.

a b c (Å): 8.738 8.738 6.486
angles (deg): 90.00 90.00 90.00
Space group P4/mbm (No. 127)
One atom of each set of equivalent atoms:
Cs (0.183, 0.317, 0.000) (multiplicity 4)
Na (0.000, 0.000, 0.500) (multiplicity 2)
Tl (0.123, 0.623, 0.500) (multiplicity 4)

## Properties
polymorph energy (0 for the lowest one): 0.074 eV/atom
density of states at the Fermi level: 8.3 states/eV per cell
size of the total moment: 0.00 μB/atom
total DFT energy (no corrections): -0.0571 hartree per atom

Density functional theory data (GGA-PBE) for a relaxed Cs2Na5Tl crystal.

a b c (Å): 15.639 7.846 7.844
angles (deg): 90.00 119.73 90.00
Space group Cm (No. 8)
One atom of each set of equivalent atoms:
Cs (0.000, 0.000, 0.000) (multiplicity 2)
Cs (0.000, 0.500, 0.494) (multiplicity 2)
Na (0.116, 0.000, 0.613) (multiplicity 2)
Na (0.262, 0.271, 0.031) (multiplicity 4)
Na (0.265, 0.271, 0.492) (multiplicity 4)
Tl (0.354, 0.000, 0.852) (multiplicity 2)

## Properties
polymorph energy (0 for the lowest one): 0.018 eV/atom
density of states at the Fermi level: 7.1 states/eV per cell
size of the total moment: 0.00 μB/atom
total DFT energy (no corrections): -0.0480 hartree per atom